[1]
# BeC PBE optimized geometry
# - Energy of formation from the pure elements: 0.462 eV/atom
# - Total moment: 0.0 Bohr magnetons per cell
# - Excess energy over the best structure of this formula in the dataset: 0.1428 eV/atom
data_BeC
_chemical_formula_sum 'Be2 C2'
_space_group_name_H-M_alt 'P 1 21/m 1'
_space_group_IT_number 11
_cell_length_a 3.406
_cell_length_b 2.473
_cell_length_c 3.949
_cell_angle_alpha 90.00
_cell_angle_beta 95.95
_cell_angle_gamma 90.00
loop_
_space_group_symop_operation_xyz
'x,y,z'
'-x,-y,-z'
'-x,y+1/2,-z'
'x,-y+1/2,z'
loop_
_atom_site_label
_atom_site_type_symbol
_atom_site_fract_x
_atom_site_fract_y
_atom_site_fract_z
Be1 Be 0.052 0.250 0.260
C1 C 0.392 0.750 0.528

[2]
# UBeFe2 PBE optimized geometry
# - Energy of formation from the pure elements: 0.111 eV/atom
# - Total moment: 3.5 Bohr magnetons per cell
# - Excess energy over the best structure of this formula in the dataset: 0.1821 eV/atom
data_UBeFe2
_chemical_formula_sum 'U4 Be4 Fe8'
_space_group_name_H-M_alt 'F m -3 m'
_space_group_IT_number 225
_space_group_name_Hall '-F 4 2 3'
_cell_length_a 5.976
_cell_length_b 5.976
_cell_length_c 5.976
_cell_angle_alpha 90.00
_cell_angle_beta 90.00
_cell_angle_gamma 90.00
loop_
_atom_site_label
_atom_site_type_symbol
_atom_site_fract_x
_atom_site_fract_y
_atom_site_fract_z
U1 U 0.000 0.000 0.000
Be1 Be 0.000 0.000 0.500
Fe1 Fe 0.250 0.250 0.250

[3]
# Na2Tl2InHg2 PBE optimized geometry
# - Energy of formation from the pure elements: -0.090 eV/atom
# - Total moment: 0.0 Bohr magnetons per cell
data_Na2Tl2InHg2
_chemical_formula_sum 'Na6 Tl6 In3 Hg6'
_space_group_name_H-M_alt 'R -3 m'
_space_group_IT_number 166
_space_group_name_Hall '-R 3 2"'
_cell_length_a 5.2966
_cell_length_b 5.2966
_cell_length_c 23.5882
_cell_angle_alpha 90.00
_cell_angle_beta 90.00
_cell_angle_gamma 120.00
loop_
_atom_site_label
_atom_site_type_symbol
_atom_site_fract_x
_atom_site_fract_y
_atom_site_fract_z
Na1 Na 0.0000 0.0000 0.1384
Tl1 Tl 0.0000 0.0000 0.4216
In1 In 0.0000 0.0000 0.0000
Hg1 Hg 0.0000 0.0000 0.2755

[4]
# AlTlPd4 PBE optimized geometry
# - Energy of formation from the pure elements: -0.361 eV/atom
# - Total moment: 0.0 Bohr magnetons per cell
# - Excess energy over the best structure of this formula in the dataset: 0.1073 eV/atom
data_AlTlPd4
_chemical_formula_sum 'Al2 Tl2 Pd8'
_space_group_name_H-M_alt 'P 1 21/c 1'
_space_group_IT_number 14
_cell_length_a 5.692
_cell_length_b 7.687
_cell_length_c 4.981
_cell_angle_alpha 90.00
_cell_angle_beta 112.80
_cell_angle_gamma 90.00
loop_
_space_group_symop_operation_xyz
'x,y,z'
'-x,-y,-z'
'-x,y+1/2,-z+1/2'
'x,-y+1/2,z+1/2'
loop_
_atom_site_label
_atom_site_type_symbol
_atom_site_fract_x
_atom_site_fract_y
_atom_site_fract_z
Al1 Al 0.000 0.000 0.000
Tl1 Tl 0.500 0.000 0.500
Pd1 Pd 0.106 0.166 0.606
Pd2 Pd 0.354 0.653 0.430